! BaMg3Ir PBE relaxed; values from VASP
! Calculated formation energy ... -22.9 kJ/mol of atoms
! Crystal system ... cubic
! Energy relative to the lowest polymorph listed for this composition ... 0.0 meV/atom
! N(E_F) ... 0.654 states/eV/atom
&SYSTEM
  ibrav = 0, nat = 5, ntyp = 3
/
ATOMIC_SPECIES
Ba 137.33 Ba.upf
Mg 24.30 Mg.upf
Ir 192.22 Ir.upf
ATOMIC_POSITIONS crystal
Ba 0.000 0.000 0.000
Mg 0.000 0.500 0.500
Mg 0.500 0.000 0.500
Mg 0.500 0.500 0.000
Ir 0.500 0.500 0.500
CELL_PARAMETERS angstrom
5.158 0.000 0.000
0.000 5.158 0.000
0.000 0.000 5.158

! RbGe2Se4 PBE relaxed; values from VASP
! Crystal system ... tetragonal
! Formation energy (no corrections) ... -0.50 eV/atom
! N(E_F) ... 0.530 states/eV/atom
&SYSTEM
  ibrav = 0, nat = 7, ntyp = 3
/
ATOMIC_SPECIES
Rb 85.47 Rb.upf
Ge 72.64 Ge.upf
Se 78.96 Se.upf
ATOMIC_POSITIONS crystal
Rb 0.000 0.000 0.000
Ge 0.250 0.750 0.500
Ge 0.750 0.250 0.500
Se 0.180 0.632 0.812
Se 0.368 0.180 0.548
Se 0.632 0.820 0.452
Se 0.820 0.368 0.188
CELL_PARAMETERS angstrom
-4.298 4.298 3.125
4.298 -4.298 3.125
4.298 4.298 -3.125

! Nd4Te7 PBE relaxed; values from VASP
! Crystal system ... tetragonal
! Formation energy (no corrections) ... -1.10 eV/atom
! N(E_F) ... 0.486 states/eV/atom
&SYSTEM
  ibrav = 0, nat = 11, ntyp = 2
/
ATOMIC_SPECIES
Nd 144.24 Nd.upf
Te 127.60 Te.upf
ATOMIC_POSITIONS crystal
Nd 0.000 0.000 0.000
Nd 0.000 0.000 0.493
Nd 0.500 0.500 0.234
Nd 0.500 0.500 0.731
Te 0.000 0.000 0.187
Te 0.000 0.000 0.671
Te 0.000 0.500 0.373
Te 0.000 0.500 0.861
Te 0.500 0.000 0.373
Te 0.500 0.000 0.861
Te 0.500 0.500 0.048
CELL_PARAMETERS angstrom
4.617 0.000 0.000
0.000 4.617 0.000
0.000 0.000 17.498

! BaSrTc2 PBE relaxed; values from VASP
! Calculated formation energy ... 126.8 kJ/mol of atoms
! Crystal system ... orthorhombic
! Energy relative to the lowest polymorph listed for this composition ... 1027.8 meV/atom
! N(E_F) ... 0.865 states/eV/atom
&SYSTEM
  ibrav = 0, nat = 4, ntyp = 3
/
ATOMIC_SPECIES
Ba 137.33 Ba.upf
Sr 87.62 Sr.upf
Tc 98.00 Tc.upf
ATOMIC_POSITIONS crystal
Ba 0.000 0.000 0.000
Sr 0.500 0.500 0.000
Tc 0.250 0.750 0.500
Tc 0.750 0.250 0.500
CELL_PARAMETERS angstrom
-2.304 2.310 4.771
2.304 -2.310 4.771
2.304 2.310 -4.771

! Ca2DyAgTe4 PBE relaxed; values from VASP
! Crystal system ... monoclinic
! Formation energy (no corrections) ... -1.21 eV/atom
&SYSTEM
  ibrav = 0, nat = 8, ntyp = 4
/
ATOMIC_SPECIES
Ca 40.08 Ca.upf
Dy 162.50 Dy.upf
Ag 107.87 Ag.upf
Te 127.60 Te.upf
ATOMIC_POSITIONS crystal
Ca 0.000 0.000 0.000
Ca 0.000 0.500 0.500
Dy 0.500 0.000 0.500
Ag 0.500 0.500 0.000
Te 0.256 0.500 0.257
Te 0.265 0.000 0.755
Te 0.735 0.000 0.245
Te 0.744 0.500 0.743
CELL_PARAMETERS angstrom
7.678 0.000 0.000
0.000 4.448 0.000
-2.627 0.000 7.268

! K2HoBO4 PBE relaxed; values from VASP
! Crystal system ... orthorhombic
! Formation energy (no corrections) ... -2.07 eV/atom
! N(E_F) ... 0.000 states/eV/atom
&SYSTEM
  ibrav = 0, nat = 16, ntyp = 4
/
ATOMIC_SPECIES
K 39.10 K.upf
Ho 164.93 Ho.upf
B 10.81 B.upf
O 16.00 O.upf
ATOMIC_POSITIONS crystal
K 0.059 0.059 0.691
K 0.309 0.309 0.941
K 0.691 0.691 0.059
K 0.941 0.941 0.309
Ho 0.125 0.125 0.125
Ho 0.875 0.875 0.875
B 0.375 0.375 0.375
B 0.625 0.625 0.625
O 0.085 0.588 0.501
O 0.325 0.501 0.588
O 0.412 0.915 0.675
O 0.499 0.675 0.915
O 0.501 0.325 0.085
O 0.588 0.085 0.325
O 0.675 0.499 0.412
O 0.915 0.412 0.499
CELL_PARAMETERS angstrom
0.000 5.679 11.431
2.522 0.000 11.431
2.522 5.679 0.000

! NbSn2H2 PBE relaxed; values from VASP
! Crystal system ... tetragonal
! Energy relative to the lowest polymorph listed for this composition ... 65.8 meV/atom
! N(E_F) ... 0.599 states/eV/atom
&SYSTEM
  ibrav = 0, nat = 10, ntyp = 3
/
ATOMIC_SPECIES
Nb 92.91 Nb.upf
Sn 118.71 Sn.upf
H 1.01 H.upf
ATOMIC_POSITIONS crystal
Nb 0.000 0.000 0.000
Nb 0.500 0.500 0.000
Sn 0.153 0.347 0.500
Sn 0.347 0.847 0.500
Sn 0.653 0.153 0.500
Sn 0.847 0.653 0.500
H 0.199 0.699 0.000
H 0.301 0.199 0.000
H 0.699 0.801 0.000
H 0.801 0.301 0.000
CELL_PARAMETERS angstrom
6.659 0.000 0.000
0.000 6.659 0.000
0.000 0.000 3.280

! KReHg2 PBE relaxed; values from VASP
! Calculated formation energy ... 99.9 kJ/mol of atoms
! Crystal system ... orthorhombic
! Energy relative to the lowest polymorph listed for this composition ... 324.1 meV/atom
! N(E_F) ... 0.622 states/eV/atom
&SYSTEM
  ibrav = 0, nat = 4, ntyp = 3
/
ATOMIC_SPECIES
K 39.10 K.upf
Re 186.21 Re.upf
Hg 200.59 Hg.upf
ATOMIC_POSITIONS crystal
K 0.000 0.000 0.000
Re 0.500 0.000 0.500
Hg 0.000 0.500 0.500
Hg 0.500 0.500 0.000
CELL_PARAMETERS angstrom
2.776 0.000 0.000
0.000 5.463 0.000
0.000 0.000 6.388

! KMgP2S PBE relaxed; values from VASP
! Crystal system ... tetragonal
! Energy relative to the lowest polymorph listed for this composition ... 1206.9 meV/atom
! Formation energy (no corrections) ... 1.43 eV/atom
! N(E_F) ... 1.196 states/eV/atom
&SYSTEM
  ibrav = 0, nat = 5, ntyp = 4
/
ATOMIC_SPECIES
K 39.10 K.upf
Mg 24.30 Mg.upf
P 30.97 P.upf
S 32.06 S.upf
ATOMIC_POSITIONS crystal
K 0.000 0.000 0.000
Mg 0.500 0.500 0.500
P 0.000 0.500 0.000
P 0.500 0.000 0.000
S 0.000 0.000 0.500
CELL_PARAMETERS angstrom
5.242 0.000 0.000
0.000 5.242 0.000
0.000 0.000 5.325

! Tc2BOsRu PBE relaxed; values from VASP
! Calculated formation energy ... 247.4 kJ/mol of atoms
! Crystal system ... tetragonal
! N(E_F) ... 1.024 states/eV/atom
&SYSTEM
  ibrav = 0, nat = 5, ntyp = 4
/
ATOMIC_SPECIES
Tc 98.00 Tc.upf
B 10.81 B.upf
Os 190.23 Os.upf
Ru 101.07 Ru.upf
ATOMIC_POSITIONS crystal
Tc 0.000 0.500 0.000
Tc 0.500 0.000 0.000
B 0.000 0.000 0.500
Os 0.500 0.500 0.000
Ru 0.500 0.500 0.500
CELL_PARAMETERS angstrom
4.701 0.000 0.000
0.000 4.701 0.000
0.000 0.000 4.678

! Ho12ScIn3 PBE relaxed; values from VASP
! Calculated formation energy ... -18.3 kJ/mol of atoms
! Crystal system ... tetragonal
! N(E_F) ... 1.242 states/eV/atom
&SYSTEM
  ibrav = 0, nat = 16, ntyp = 3
/
ATOMIC_SPECIES
Ho 164.93 Ho.upf
Sc 44.96 Sc.upf
In 114.82 In.upf
ATOMIC_POSITIONS crystal
Ho 0.000 0.000 0.000
Ho 0.000 0.000 0.248
Ho 0.000 0.000 0.500
Ho 0.000 0.000 0.752
Ho 0.000 0.500 0.124
Ho 0.000 0.500 0.373
Ho 0.000 0.500 0.627
Ho 0.000 0.500 0.876
Ho 0.500 0.000 0.124
Ho 0.500 0.000 0.373
Ho 0.500 0.000 0.627
Ho 0.500 0.000 0.876
Sc 0.500 0.500 0.500
In 0.500 0.500 0.000
In 0.500 0.500 0.246
In 0.500 0.500 0.754
CELL_PARAMETERS angstrom
4.823 0.000 0.000
0.000 4.823 0.000
0.000 0.000 19.530

! Sr2TaTl PBE relaxed; values from VASP
! Calculated formation energy ... 53.4 kJ/mol of atoms
! Crystal system ... tetragonal
! Energy relative to the lowest polymorph listed for this composition ... 25.4 meV/atom
! N(E_F) ... 1.502 states/eV/atom
&SYSTEM
  ibrav = 0, nat = 4, ntyp = 3
/
ATOMIC_SPECIES
Sr 87.62 Sr.upf
Ta 180.95 Ta.upf
Tl 204.38 Tl.upf
ATOMIC_POSITIONS crystal
Sr 0.000 0.000 0.000
Sr 0.500 0.500 0.358
Ta 0.000 0.000 0.589
Tl 0.500 0.500 0.766
CELL_PARAMETERS angstrom
3.540 0.000 0.000
0.000 3.540 0.000
0.000 0.000 10.082

Uncorrected energy
In order: -16.75; -27.61; -53.15; -19.08; -33.73; -99.63; -46.13; -10.01; -10.51; -35.10; -72.52; -15.37
Unit: eV per cell